# 1
VASP calculation (GGA-PBE) on crystalline LaTc2P at its relaxed geometry.

Properties
Electronic total energy (eV for the cell shown): -61.80
Total moment (μB/f.u.): 0.00

Unit cell a=3.037 b=5.204 c=9.072 alpha=90.00 beta=90.00 gamma=90.00
Space group Immm (No. 71)
Inequivalent atoms, fractional coordinates:
1 La 0.000 0.000 0.000
2 Tc 0.000 0.500 0.206
3 P 0.000 0.000 0.500

---

# 2
VASP calculation (GGA-PBE) on crystalline Ca2LaZnCo at its relaxed geometry.

Properties
Electronic total energy (eV for the cell shown): -17.03
Total moment (μB/f.u.): 0.00

Unit cell a=5.469 b=5.469 c=5.056 alpha=90.00 beta=90.00 gamma=90.00
Space group P4/mmm (No. 123)
Inequivalent atoms, fractional coordinates:
1 Ca 0.000 0.500 0.000
2 La 0.000 0.000 0.500
3 Zn 0.500 0.500 0.500
4 Co 0.000 0.000 0.000

---

# 3
VASP calculation (GGA-PBE) on crystalline Os5Pt3 at its relaxed geometry.

Properties
Electronic total energy (eV for the cell shown): -145.44
Total moment (μB/f.u.): 0.00
ΔE to the lowest computed polymorph (eV/atom): 0.0000

Unit cell a=7.776 b=7.837 c=3.869 alpha=90.00 beta=90.00 gamma=90.00
Space group Cmmm (No. 65)
Inequivalent atoms, fractional coordinates:
1 Os 0.000 0.000 0.000
2 Os 0.000 0.247 0.500
3 Os 0.250 0.250 0.000
4 Pt 0.000 0.500 0.000
5 Pt 0.243 0.000 0.500

---

# 4
VASP calculation (GGA-PBE) on crystalline LiVZn at its relaxed geometry.

Properties
Electronic total energy (eV for the cell shown): -24.57
Total moment (μB/f.u.): 0.00
ΔE to the lowest computed polymorph (eV/atom): 0.0000

Unit cell a=2.749 b=3.506 c=9.041 alpha=90.00 beta=90.00 gamma=90.00
Space group Pmmn (No. 59, origin choice 2)
Inequivalent atoms, fractional coordinates:
1 Li 0.250 0.250 0.098
2 V 0.250 0.250 0.427
3 Zn 0.250 0.250 0.742

---

# 5
VASP calculation (GGA-PBE) on crystalline AgP2PbO at its relaxed geometry.

Properties
Electronic total energy (eV for the cell shown): -19.07
Total moment (μB/f.u.): 0.69
Formation energy without anion corrections (eV per atom): 0.653
ΔE to the lowest computed polymorph (eV/atom): 0.0000

Unit cell a=4.972 b=4.972 c=4.058 alpha=90.00 beta=90.00 gamma=90.00
Space group P4/mmm (No. 123)
Inequivalent atoms, fractional coordinates:
1 Ag 0.000 0.000 0.000
2 P 0.000 0.500 0.000
3 Pb 0.500 0.500 0.500
4 O 0.000 0.000 0.500

---

# 6
VASP calculation (GGA-PBE) on crystalline LiCu2Ni at its relaxed geometry.

Properties
Electronic total energy (eV for the cell shown): -31.77
Total moment (μB/f.u.): 0.00
ΔE to the lowest computed polymorph (eV/atom): 0.0457

Unit cell a=2.712 b=4.134 c=8.336 alpha=90.00 beta=90.00 gamma=90.00
Space group Imm2 (No. 44)
Inequivalent atoms, fractional coordinates:
1 Li 0.000 0.000 0.000
2 Cu 0.000 0.000 0.498
3 Cu 0.000 0.500 0.247
4 Ni 0.000 0.500 0.753